# 1
A plane-wave DFT calculation with meta-GGA SCAN was carried out for La2AuF at its PBEsol-relaxed geometry.

Output
M_tot: 0.000 μB per atom
Energy: -3.032 Ry per atom
Formation energy without anion corrections: -1.52 eV/atom
Space-group type: Fm-3m

The structure in POSCAR format:
```
La2AuF
1.0
0.0000 3.5822 3.5822
3.5822 0.0000 3.5822
3.5822 3.5822 0.0000
La Au F
2 1 1
direct
0.2500 0.2500 0.2500 La
0.7500 0.7500 0.7500 La
0.0000 0.0000 0.0000 Au
0.5000 0.5000 0.5000 F
```

# 2
A plane-wave DFT calculation with meta-GGA SCAN was carried out for ErZnNi at its PBEsol-relaxed geometry.

Output
M_tot: 0.000 μB per atom
Energy: -1.998 Ry per atom
Space-group type: P-62m

The structure in POSCAR format:
```
ErZnNi
1.0
6.8352 0.0000 0.0000
-3.4176 5.9195 0.0000
0.0000 0.0000 3.6910
Er Zn Ni
3 3 3
direct
0.0000 0.5917 0.0000 Er
0.4083 0.4083 0.0000 Er
0.5917 0.0000 0.0000 Er
0.0000 0.2443 0.5000 Zn
0.2443 0.0000 0.5000 Zn
0.7557 0.7557 0.5000 Zn
0.0000 0.0000 0.0000 Ni
0.3333 0.6667 0.5000 Ni
0.6667 0.3333 0.5000 Ni
```

# 3
A plane-wave DFT calculation with meta-GGA SCAN was carried out for SmMg2Sc at its PBEsol-relaxed geometry.

Output
M_tot: 0.002 μB per atom
Energy: -1.266 Ry per atom
Space-group type: Fm-3m

The structure in POSCAR format:
```
SmMg2Sc
1.0
0.0000 3.6783 3.6783
3.6783 0.0000 3.6783
3.6783 3.6783 0.0000
Sm Mg Sc
1 2 1
direct
0.0000 0.0000 0.0000 Sm
0.2500 0.2500 0.2500 Mg
0.7500 0.7500 0.7500 Mg
0.5000 0.5000 0.5000 Sc
```

# 4
A plane-wave DFT calculation with meta-GGA SCAN was carried out for Sm4Cu5P7 at its PBEsol-relaxed geometry.

Output
M_tot: 0.000 μB per atom
Energy: -1.566 Ry per atom
Space-group type: I-42m

The structure in POSCAR format:
```
Sm4Cu5P7
1.0
-2.6337 2.6337 9.7317
2.6337 -2.6337 9.7317
2.6337 2.6337 -9.7317
Sm Cu P
4 5 7
direct
0.1249 0.6398 0.0000 Sm
0.3602 0.3602 0.4851 Sm
0.6398 0.1249 0.0000 Sm
0.8751 0.8751 0.5149 Sm
0.2493 0.2493 0.0000 Cu
0.2500 0.7500 0.5000 Cu
0.5000 0.5000 0.0000 Cu
0.7500 0.2500 0.5000 Cu
0.7507 0.7507 0.0000 Cu
0.0000 0.0000 0.0000 P
0.0000 0.5000 0.5000 P
0.0788 0.0788 0.5078 P
0.4290 0.9212 0.0000 P
0.5000 0.0000 0.5000 P
0.5710 0.5710 0.4922 P
0.9212 0.4290 0.0000 P
```

# 5
A plane-wave DFT calculation with meta-GGA SCAN was carried out for Co2HgO4 at its PBEsol-relaxed geometry.

Output
M_tot: 0.000 μB per atom
Energy: -1.424 Ry per atom
Formation energy without anion corrections: -1.13 eV/atom
Space-group type: Pmmn

The structure in POSCAR format:
```
Co2HgO4
1.0
5.5760 0.0000 0.0000
0.0000 12.1111 0.0000
0.0000 0.0000 4.8391
Co Hg O
8 4 16
direct
0.0000 0.0000 0.0000 Co
0.0000 0.5000 0.0000 Co
0.2500 0.9996 0.4952 Co
0.2500 0.5004 0.4952 Co
0.5000 0.0000 0.0000 Co
0.5000 0.5000 0.0000 Co
0.7500 0.0004 0.5048 Co
0.7500 0.4996 0.5048 Co
0.2500 0.2500 0.8250 Hg
0.2500 0.7500 0.8509 Hg
0.7500 0.2500 0.1491 Hg
0.7500 0.7500 0.1750 Hg
0.0066 0.0798 0.6692 O
0.0066 0.4202 0.6692 O
0.2500 0.0791 0.1631 O
0.2500 0.4209 0.1631 O
0.2500 0.5789 0.8344 O
0.2500 0.9211 0.8344 O
0.4934 0.0798 0.6692 O
0.4934 0.4202 0.6692 O
0.5066 0.5798 0.3308 O
0.5066 0.9202 0.3308 O
0.7500 0.0789 0.1656 O
0.7500 0.4211 0.1656 O
0.7500 0.5791 0.8369 O
0.7500 0.9209 0.8369 O
0.9934 0.5798 0.3308 O
0.9934 0.9202 0.3308 O
```

# 6
A plane-wave DFT calculation with meta-GGA SCAN was carried out for LaHg2P2 at its PBEsol-relaxed geometry.

Output
M_tot: 0.000 μB per atom
Energy: -2.979 Ry per atom
Space-group type: I4/mmm

The structure in POSCAR format:
```
LaHg2P2
1.0
-2.0439 2.0439 6.6428
2.0439 -2.0439 6.6428
2.0439 2.0439 -6.6428
La Hg P
1 2 2
direct
0.0000 0.0000 0.0000 La
0.2500 0.7500 0.5000 Hg
0.7500 0.2500 0.5000 Hg
0.4184 0.4184 0.0000 P
0.5816 0.5816 0.0000 P
```

# 7
A plane-wave DFT calculation with meta-GGA SCAN was carried out for Y2HgSe2 at its PBEsol-relaxed geometry.

Output
M_tot: 0.000 μB per atom
Energy: -2.502 Ry per atom
Formation energy without anion corrections: -1.24 eV/atom
Space-group type: I4/mmm

The structure in POSCAR format:
```
Y2HgSe2
1.0
-2.4927 2.4927 5.6705
2.4927 -2.4927 5.6705
2.4927 2.4927 -5.6705
Y Hg Se
2 1 2
direct
0.2500 0.7500 0.5000 Y
0.7500 0.2500 0.5000 Y
0.0000 0.0000 0.0000 Hg
0.3552 0.3552 0.0000 Se
0.6448 0.6448 0.0000 Se
```

# 8
A plane-wave DFT calculation with meta-GGA SCAN was carried out for SrZn2WI at its PBEsol-relaxed geometry.

Output
M_tot: 0.029 μB per atom
Energy: -2.181 Ry per atom
Formation energy without anion corrections: 1.48 eV/atom
Space-group type: P4/mmm

The structure in POSCAR format:
```
SrZn2WI
1.0
5.3078 0.0000 0.0000
0.0000 5.3078 0.0000
0.0000 0.0000 4.9697
Sr Zn W I
1 2 1 1
direct
0.0000 0.0000 0.0000 Sr
0.0000 0.5000 0.5000 Zn
0.5000 0.0000 0.5000 Zn
0.5000 0.5000 0.0000 W
0.5000 0.5000 0.5000 I
```

# 9
A plane-wave DFT calculation with meta-GGA SCAN was carried out for InPS2Cl at its PBEsol-relaxed geometry.

Output
M_tot: 0.198 μB per atom
Energy: -1.004 Ry per atom
Formation energy without anion corrections: 0.54 eV/atom
Space-group type: P4/mmm

The structure in POSCAR format:
```
InPS2Cl
1.0
4.9764 0.0000 0.0000
0.0000 4.9764 0.0000
0.0000 0.0000 4.8331
In P S Cl
1 1 2 1
direct
0.0000 0.0000 0.0000 In
0.5000 0.5000 0.5000 P
0.0000 0.5000 0.0000 S
0.5000 0.0000 0.0000 S
0.0000 0.0000 0.5000 Cl
```

# 10
A plane-wave DFT calculation with meta-GGA SCAN was carried out for Tl3Ge at its PBEsol-relaxed geometry.

Output
M_tot: 0.000 μB per atom
Energy: -4.324 Ry per atom
Space-group type: Pm-3m

The structure in POSCAR format:
```
Tl3Ge
1.0
4.6892 0.0000 0.0000
0.0000 4.6892 0.0000
0.0000 0.0000 4.6892
Tl Ge
3 1
direct
0.0000 0.0000 0.5000 Tl
0.0000 0.5000 0.0000 Tl
0.5000 0.0000 0.0000 Tl
0.5000 0.5000 0.5000 Ge
```

# 11
A plane-wave DFT calculation with meta-GGA SCAN was carried out for La2MoPt at its PBEsol-relaxed geometry.

Output
M_tot: 0.166 μB per atom
Energy: -3.512 Ry per atom
Space-group type: R-3m

The structure in POSCAR format:
```
La2MoPt
1.0
1.8548 1.0709 8.2047
-1.8548 1.0709 8.2047
0.0000 -2.1418 8.2047
La Mo Pt
2 1 1
direct
0.2473 0.2473 0.2473 La
0.7527 0.7527 0.7527 La
0.0000 0.0000 0.0000 Mo
0.5000 0.5000 0.5000 Pt
```

# 12
A plane-wave DFT calculation with meta-GGA SCAN was carried out for CrHg2Pb at its PBEsol-relaxed geometry.

Output
M_tot: 1.083 μB per atom
Energy: -4.216 Ry per atom
Space-group type: F-43m

The structure in POSCAR format:
```
CrHg2Pb
1.0
0.0000 3.5272 3.5272
3.5272 0.0000 3.5272
3.5272 3.5272 0.0000
Cr Hg Pb
1 2 1
direct
0.0000 0.0000 0.0000 Cr
0.2500 0.2500 0.2500 Hg
0.5000 0.5000 0.5000 Hg
0.7500 0.7500 0.7500 Pb
```